5
Lattice="5.4982 0.0000 0.0000 0.0000 3.0326 0.0000 -2.4638 0.0000 5.4152" Properties=species:S:1:pos:R:3 comment="CdGe2PtO, optimized geometry, DFT PBE" total_magnetization_mub_per_atom=0.00 e_above_lowest_polymorph_mev_per_atom=113.8 raw_formation_energy_mev_per_atom=-468 pbc="T T T"
Cd 0.0000 0.0000 0.0000
Ge 0.8128 0.0000 3.9562
Ge 2.7132 1.5163 1.6833
Pt -0.3875 1.5163 2.3833
O 2.3587 0.0000 0.3514

***

5
Lattice="4.4154 -1.5648 0.0000 4.4154 1.5648 0.0000 -3.0890 0.0000 6.9331" Properties=species:S:1:pos:R:3 comment="CdGe2PtO, optimized geometry, DFT PBE" total_magnetization_mub_per_atom=0.00 e_above_lowest_polymorph_mev_per_atom=40.2 raw_formation_energy_mev_per_atom=-542 pbc="T T T"
Cd 0.0000 0.0000 0.0000
Ge 3.9434 0.0000 4.8154
Ge 6.7506 0.0000 2.6859
Pt 4.2724 0.0000 2.3607
O -1.7253 0.0000 4.8138

***

12
Lattice="-3.5076 3.5076 3.2324 3.5076 -3.5076 3.2324 3.5076 3.5076 -3.2324" Properties=species:S:1:pos:R:3 comment="PuCdGe2O8, optimized geometry, DFT PBE" total_magnetization_mub_per_atom=0.17 raw_formation_energy_mev_per_atom=-1638 pbc="T T T"
Pu 0.0000 0.0000 0.0000
Cd 0.0000 3.5076 1.6162
Ge 3.5076 0.0000 1.6162
Ge 0.0000 0.0000 3.2324
O 2.1251 0.0000 0.5018
O 4.8900 0.0000 0.5018
O 3.5076 2.2474 -1.2519
O 3.5076 -1.3824 2.7306
O 0.0000 1.2602 1.9805
O 3.5076 1.3824 2.7306
O 2.2474 3.5076 1.2519
O 1.2602 0.0000 4.4843

***

10
Lattice="5.5798 0.0000 0.0000 0.0000 5.5798 0.0000 0.0000 0.0000 4.5351" Properties=species:S:1:pos:R:3 comment="PuCd2GeO6, optimized geometry, DFT PBE" total_magnetization_mub_per_atom=0.38 raw_formation_energy_mev_per_atom=-1577 pbc="T T T"
Pu 0.0000 0.0000 0.0000
Cd 0.0000 2.7899 1.7843
Cd 2.7899 0.0000 1.7843
Ge 2.7899 2.7899 4.3961
O 0.0000 0.0000 2.3871
O 1.5053 1.5053 0.3744
O 1.5053 4.0745 0.3744
O 2.7899 2.7899 2.6327
O 4.0745 1.5053 0.3744
O 4.0745 4.0745 0.3744

***

20
Lattice="5.1596 -5.8175 0.0000 5.1596 5.8175 0.0000 -0.4649 0.0000 5.1930" Properties=species:S:1:pos:R:3 comment="RbCdGe2O6, optimized geometry, DFT PBE" total_magnetization_mub_per_atom=0.09 raw_formation_energy_mev_per_atom=-1365 pbc="T T T"
Rb 4.8110 4.7354 3.8948
Rb 5.0434 -4.7354 1.2983
Cd 5.0434 2.4937 1.2983
Cd 4.8110 -2.4937 3.8948
Ge 2.7361 0.9494 3.7968
Ge 2.9686 -0.9494 1.2003
Ge 6.8859 0.9494 3.9927
Ge 7.1183 -0.9494 1.3962
O 1.0900 1.4518 3.8954
O 3.8438 2.1819 4.4280
O 1.3224 -1.4518 1.2989
O 3.2656 0.6281 2.0819
O 3.0332 -0.6281 4.6785
O 5.7782 2.1819 3.3616
O 4.0762 -2.1819 1.8314
O 6.8212 0.6281 0.5146
O 6.5888 -0.6281 3.1111
O 8.5320 1.4518 3.8941
O 6.0107 -2.1819 0.7651
O 8.7645 -1.4518 1.2976

***

18
Lattice="5.1271 0.0000 0.0000 -2.5635 4.4402 0.0000 0.0000 0.0000 9.6128" Properties=species:S:1:pos:R:3 comment="CdGeRhO6, optimized geometry, DFT PBE" total_magnetization_mub_per_atom=0.13 raw_formation_energy_mev_per_atom=-932 pbc="T T T"
Cd 0.0000 0.0000 0.0000
Cd 0.0000 0.0000 4.8064
Ge 0.0000 2.9601 2.4032
Ge 2.5635 1.4801 7.2096
Rh 0.0000 2.9601 7.2096
Rh 2.5635 1.4801 2.4032
O -0.9228 1.6531 1.3504
O -1.5933 2.8145 3.4560
O 0.9228 1.6531 3.4560
O -0.6705 4.4128 1.3504
O 1.8931 0.0274 6.1568
O 0.9703 1.6257 8.2623
O 1.5933 2.8145 1.3504
O 0.6705 4.4128 3.4560
O 3.2340 0.0274 8.2623
O 1.6408 2.7870 6.1568
O 4.1568 1.6257 6.1568
O 3.4863 2.7870 8.2623

***

20
Lattice="5.0570 -4.8549 0.0000 5.0570 4.8549 0.0000 -1.0274 0.0000 5.2507" Properties=species:S:1:pos:R:3 comment="CdGe2RhO6, optimized geometry, DFT PBE" total_magnetization_mub_per_atom=0.10 raw_formation_energy_mev_per_atom=-1161 pbc="T T T"
Cd 4.2864 3.9465 3.9381
Cd 4.8001 -3.9465 1.3127
Ge 2.3081 0.8778 3.8190
Ge 2.8218 -0.8778 1.1936
Ge 6.2647 0.8778 4.0571
Ge 6.7784 -0.8778 1.4317
Rh 4.8001 2.1097 1.3127
Rh 4.2864 -2.1097 3.9381
O 0.5764 0.9834 3.4470
O 2.9511 2.2563 4.6735
O 1.0901 -0.9834 0.8217
O 3.1548 0.6188 2.2014
O 5.6217 2.2563 3.2026
O 2.6411 -0.6188 4.8268
O 6.4454 0.6188 0.4240
O 3.4648 -2.2563 2.0481
O 5.9317 -0.6188 3.0493
O 7.9964 0.9834 4.4291
O 6.1354 -2.2563 0.5773
O 8.5101 -0.9834 1.8037

***

18
Lattice="5.1136 0.0000 0.0000 -2.5568 4.4285 0.0000 0.0000 0.0000 9.7030" Properties=species:S:1:pos:R:3 comment="CdGeRuO6, optimized geometry, DFT PBE" total_magnetization_mub_per_atom=0.22 raw_formation_energy_mev_per_atom=-1089 pbc="T T T"
Cd 0.0000 0.0000 0.0000
Cd 0.0000 0.0000 4.8515
Ge 0.0000 2.9523 2.4257
Ge 2.5568 1.4762 7.2772
Ru 0.0000 2.9523 7.2772
Ru 2.5568 1.4762 2.4257
O -0.9381 1.6558 1.3700
O -1.5919 2.7881 3.4814
O 0.9381 1.6558 3.4814
O -0.6537 4.4130 1.3700
O 1.9031 0.0155 6.2215
O 0.9649 1.6404 8.3329
O 1.5919 2.7881 1.3700
O 0.6537 4.4130 3.4814
O 3.2105 0.0155 8.3329
O 1.6187 2.7727 6.2215
O 4.1487 1.6404 6.2215
O 3.4949 2.7727 8.3329